NbHgTeN2: relaxed, PBE.

Properties
N(E_F) = 2.73 states/eV/f.u.
M_tot = 0.1390 μB per atom
Offset from the most stable computed form = 0.000 eV per atom
Calculated volume = 100.11 Å³/f.u.
Crystal system = tetragonal
Formation energy without anion corrections = 0.337 eV/atom
E = -5.696 eV per atom

Structure (CIF):
```
data_NbHgTeN2
_chemical_formula_sum 'Nb1 Hg1 Te1 N2'
_symmetry_space_group_name_H-M 'P 4/m m m'
_symmetry_Int_Tables_number 123
_symmetry_space_group_name_Hall '-P 4 2'
_cell_length_a 4.0874
_cell_length_b 4.0874
_cell_length_c 5.9922
_cell_angle_alpha 90.00
_cell_angle_beta 90.00
_cell_angle_gamma 90.00
loop_
_atom_site_label
_atom_site_fract_x
_atom_site_fract_y
_atom_site_fract_z
_atom_site_occupancy
Nb1 0.0000 0.0000 0.0000 1
Hg1 0.5000 0.5000 0.5000 1
Te1 0.0000 0.0000 0.5000 1
N1 0.0000 0.5000 0.0000 1
```